(1)
VASP calculation (PBE) on a relaxed CaGe3Bi crystal.

Structure (extended XYZ):
```
5
Lattice="5.361 0.000 0.000 0.000 5.361 0.000 0.000 0.000 5.361" Properties=species:S:1:pos:R:3 pbc="T T T"
Ca 0.000 0.000 0.000
Ge 0.000 0.000 2.680
Ge 0.000 2.680 0.000
Ge 2.680 0.000 0.000
Bi 2.680 2.680 2.680
```

Output
The value obtained for the formation energy is 4.4 eV/f.u. As for the magnetic moment: 0.157 μB per formula unit. The calculation puts the polymorph energy (0 for the lowest one) at 252 meV/atom. The density of states at the Fermi level is 1.300 states/eV per atom.

---

(2)
VASP calculation (PBE) on a relaxed CaGe3Bi crystal.

Structure (extended XYZ):
```
5
Lattice="5.516 0.000 0.000 0.000 5.516 0.000 0.000 0.000 5.516" Properties=species:S:1:pos:R:3 pbc="T T T"
Ca 0.000 0.000 0.000
Ge 0.000 2.758 2.758
Ge 2.758 0.000 2.758
Ge 2.758 2.758 0.000
Bi 2.758 2.758 2.758
```

Output
The value obtained for the formation energy is 3.1 eV/f.u. As for the magnetic moment: 0.000 μB per formula unit. The calculation puts the polymorph energy (0 for the lowest one) at 0 meV/atom. The density of states at the Fermi level is 0.786 states/eV per atom.

---

(3)
VASP calculation (PBE) on a relaxed CaGeBi2 crystal.

Structure (extended XYZ):
```
8
Lattice="-3.952 3.952 4.391 3.952 -3.952 4.391 3.952 3.952 -4.391" Properties=species:S:1:pos:R:3 pbc="T T T"
Ca 0.000 0.000 0.000
Ca 0.000 3.952 2.196
Ge 3.952 0.000 2.196
Ge 0.000 0.000 4.391
Bi 1.976 2.400 -1.098
Bi 5.505 1.976 1.098
Bi 1.976 1.553 3.293
Bi -1.553 1.976 5.489
```

Output
The value obtained for the formation energy is -0.4 eV/f.u. As for the magnetic moment: 0.000 μB per formula unit. The density of states at the Fermi level is 0.253 states/eV per atom.

---

(4)
VASP calculation (PBE) on a relaxed Ca2Ge2Bi crystal.

Structure (extended XYZ):
```
5
Lattice="-2.558 2.558 5.549 2.558 -2.558 5.549 2.558 2.558 -5.549" Properties=species:S:1:pos:R:3 pbc="T T T"
Ca 2.558 0.000 2.774
Ca 0.000 2.558 2.774
Ge 0.000 0.000 1.165
Ge 0.000 0.000 9.933
Bi 0.000 0.000 5.549
```

Output
The value obtained for the formation energy is -0.8 eV/f.u. As for the magnetic moment: 0.001 μB per formula unit. The calculation puts the polymorph energy (0 for the lowest one) at 414 meV/atom. The density of states at the Fermi level is 1.079 states/eV per atom.

---

(5)
VASP calculation (PBE) on a relaxed Ca2GeBi crystal.

Structure (extended XYZ):
```
8
Lattice="-4.201 4.201 3.387 4.201 -4.201 3.387 4.201 4.201 -3.387" Properties=species:S:1:pos:R:3 pbc="T T T"
Ca 6.302 1.915 -0.847
Ca 1.915 2.101 0.847
Ca -2.101 2.286 2.540
Ca 2.286 2.101 4.233
Ge 0.000 0.000 0.000
Ge 0.000 4.201 1.693
Bi 4.201 0.000 1.693
Bi 0.000 0.000 3.387
```

Output
The value obtained for the formation energy is -1.4 eV/f.u. As for the magnetic moment: 0.000 μB per formula unit. The calculation puts the polymorph energy (0 for the lowest one) at 269 meV/atom. The density of states at the Fermi level is 0.985 states/eV per atom.

---

(6)
VASP calculation (PBE) on a relaxed Ca2GeBi crystal.

Structure (extended XYZ):
```
16
Lattice="9.561 0.000 0.000 0.000 6.994 0.000 -4.372 0.000 8.066" Properties=species:S:1:pos:R:3 pbc="T T T"
Ca 1.212 1.749 0.669
Ca -0.974 1.747 4.703
Ca 0.606 5.114 2.924
Ca -1.579 5.377 6.957
Ca 6.769 1.617 1.109
Ca 4.583 1.880 5.143
Ca 6.163 5.246 3.364
Ca 3.977 5.244 7.397
Ge -0.293 1.032 7.687
Ge 1.893 2.465 3.654
Ge 3.297 4.529 4.413
Ge 5.482 5.962 0.380
Bi 3.959 3.514 1.503
Bi 1.773 6.977 5.536
Bi 3.416 0.017 2.530
Bi 1.230 3.480 6.563
```

Output
The value obtained for the formation energy is -1.1 eV/f.u. As for the magnetic moment: 0.000 μB per formula unit. The calculation puts the polymorph energy (0 for the lowest one) at 336 meV/atom. The density of states at the Fermi level is 0.495 states/eV per atom.

---

(7)
VASP calculation (PBE) on a relaxed CaGe2Bi crystal.

Structure (extended XYZ):
```
4
Lattice="4.709 0.000 0.000 0.000 4.709 0.000 0.000 0.000 4.410" Properties=species:S:1:pos:R:3 pbc="T T T"
Ca 0.000 0.000 0.000
Ge 0.000 2.355 2.205
Ge 2.355 0.000 2.205
Bi 2.355 2.355 0.000
```

Output
The value obtained for the formation energy is -0.9 eV/f.u. As for the magnetic moment: 0.000 μB per formula unit. The density of states at the Fermi level is 0.511 states/eV per atom.

---

(8)
VASP calculation (PBE) on a relaxed Ca2GeBi2 crystal.

Structure (extended XYZ):
```
10
Lattice="8.145 0.000 0.000 0.000 8.145 0.000 0.000 0.000 4.593" Properties=species:S:1:pos:R:3 pbc="T T T"
Ca 1.370 2.703 0.000
Ca 2.703 6.775 0.000
Ca 5.443 1.370 0.000
Ca 6.775 5.443 0.000
Ge 0.000 0.000 2.296
Ge 4.073 4.073 2.296
Bi 1.136 5.208 2.296
Bi 2.937 1.136 2.296
Bi 5.208 7.010 2.296
Bi 7.010 2.937 2.296
```

Output
The value obtained for the formation energy is -2.2 eV/f.u. As for the magnetic moment: 0.000 μB per formula unit. The calculation puts the polymorph energy (0 for the lowest one) at 0 meV/atom. The density of states at the Fermi level is 0.662 states/eV per atom.

---

(9)
VASP calculation (PBE) on a relaxed Ca5Ge2Bi2 crystal.

Structure (extended XYZ):
```
18
Lattice="8.053 -4.154 0.000 8.053 4.154 0.000 0.000 0.000 7.954" Properties=species:S:1:pos:R:3 pbc="T T T"
Ca 0.000 0.000 0.000
Ca 5.949 2.670 5.349
Ca 5.949 1.484 1.372
Ca 10.158 2.670 5.349
Ca 10.158 1.484 1.372
Ca 8.053 0.000 3.977
Ca 5.949 -1.484 6.581
Ca 5.949 -2.670 2.604
Ca 10.158 -1.484 6.581
Ca 10.158 -2.670 2.604
Ge 8.053 3.248 3.055
Ge 8.053 0.906 7.032
Ge 8.053 -0.906 0.921
Ge 8.053 -3.248 4.898
Bi 3.370 0.000 0.000
Bi 4.683 0.000 3.977
Bi 11.423 0.000 3.977
Bi 12.736 0.000 0.000
```

Output
The value obtained for the formation energy is -6.4 eV/f.u. As for the magnetic moment: 0.000 μB per formula unit. The density of states at the Fermi level is 0.913 states/eV per atom.

---

(10)
VASP calculation (PBE) on a relaxed Ca2Ge2Bi crystal.

Structure (extended XYZ):
```
10
Lattice="7.729 0.000 0.000 0.000 7.729 0.000 0.000 0.000 4.390" Properties=species:S:1:pos:R:3 pbc="T T T"
Ca 1.369 2.496 0.000
Ca 2.496 6.360 0.000
Ca 5.234 1.369 0.000
Ca 6.360 5.234 0.000
Ge 0.892 4.757 2.195
Ge 2.973 0.892 2.195
Ge 4.757 6.837 2.195
Ge 6.837 2.973 2.195
Bi 0.000 0.000 2.195
Bi 3.865 3.865 2.195
```

Output
The value obtained for the formation energy is -2.9 eV/f.u. As for the magnetic moment: 0.000 μB per formula unit. The calculation puts the polymorph energy (0 for the lowest one) at 0 meV/atom. The density of states at the Fermi level is 0.240 states/eV per atom.

---

(11)
VASP calculation (PBE) on a relaxed Ca2GeBi crystal.

Structure (extended XYZ):
```
4
Lattice="5.053 0.000 0.000 0.000 5.053 0.000 0.000 0.000 4.328" Properties=species:S:1:pos:R:3 pbc="T T T"
Ca 0.000 2.526 0.000
Ca 2.526 0.000 0.000
Ge 0.000 0.000 2.164
Bi 2.526 2.526 2.164
```

Output
The value obtained for the formation energy is -2.3 eV/f.u. As for the magnetic moment: 0.000 μB per formula unit. The calculation puts the polymorph energy (0 for the lowest one) at 28 meV/atom. The density of states at the Fermi level is 0.433 states/eV per atom.

---

(12)
VASP calculation (PBE) on a relaxed CaGe2Bi crystal.

Structure (extended XYZ):
```
8
Lattice="-4.138 4.138 3.132 4.138 -4.138 3.132 4.138 4.138 -3.132" Properties=species:S:1:pos:R:3 pbc="T T T"
Ca 0.000 0.000 0.000
Ca 0.000 4.138 1.566
Ge 2.069 -1.939 2.349
Ge 2.199 2.069 0.783
Ge 2.069 6.078 -0.783
Ge 1.939 2.069 3.915
Bi 4.138 0.000 1.566
Bi 0.000 0.000 3.132
```

Output
The value obtained for the formation energy is -0.3 eV/f.u. As for the magnetic moment: 0.000 μB per formula unit. The density of states at the Fermi level is 0.623 states/eV per atom.